# Li3Pd4Au, optimized geometry, DFT PBE
# * distance to the lowest polymorph of the same formula: 0 meV/atom
data_Li3Pd4Au
_chemical_formula_sum 'Li6 Pd8 Au2'
_cell_length_a 18.3931
_cell_length_b 2.8022
_cell_length_c 4.6773
_cell_angle_alpha 90.00
_cell_angle_beta 102.41
_cell_angle_gamma 90.00
_space_group_name_H-M_alt 'C 1 2/m 1'
_space_group_IT_number 12
_space_group_name_Hall '-C 2y'
loop_
_atom_site_label
_atom_site_type_symbol
_atom_site_fract_x
_atom_site_fract_y
_atom_site_fract_z
_atom_site_occupancy
Li1 Li 0.0000 0.0000 0.0000 1
Li2 Li 0.1297 0.0000 0.4893 1
Pd1 Pd 0.1206 0.5000 0.9740 1
Pd2 Pd 0.2475 0.0000 0.2476 1
Au1 Au 0.0000 0.5000 0.5000 1

# Li6Pd2Au, optimized geometry, DFT PBE
# * distance to the lowest polymorph of the same formula: 12 meV/atom
data_Li6Pd2Au
_chemical_formula_sum 'Li12 Pd4 Au2'
_cell_length_a 12.7854
_cell_length_b 7.3792
_cell_length_c 2.7511
_cell_angle_alpha 90.00
_cell_angle_beta 90.14
_cell_angle_gamma 90.00
_space_group_name_H-M_alt 'C 1 2/m 1'
_space_group_IT_number 12
_space_group_name_Hall '-C 2y'
loop_
_atom_site_label
_atom_site_type_symbol
_atom_site_fract_x
_atom_site_fract_y
_atom_site_fract_z
_atom_site_occupancy
Li1 Li 0.0000 0.1611 0.0000 1
Li2 Li 0.1694 0.3305 0.0031 1
Pd1 Pd 0.1667 0.0000 0.4999 1
Au1 Au 0.0000 0.5000 0.5000 1

no.,ΔH_f (0 K) (eV per atom)
1,-0.377
2,-0.400